# CrAg3F7

Crystalline CrAg3F7 at its relaxed geometry (GGA+U, the Alexandria database).

a = 8.2319 Å, b = 7.5081 Å, c = 6.1952 Å
α = 90.00°, β = 123.27°, γ = 90.00°
Space group Cm (No. 8)
Inequivalent atoms, fractional coordinates:
Cr (0.0000, 0.0000, 0.0000) x2
Ag (0.0036, 0.5000, 0.9750) x2
Ag (0.0058, 0.2434, 0.5081) x4
F (0.1199, 0.0000, 0.7944) x2
F (0.1586, 0.1889, 0.2345) x4
F (0.3434, 0.3028, 0.7704) x4
F (0.3533, 0.5000, 0.1617) x2
F (0.4911, 0.0000, 0.3470) x2

Density of states at the Fermi level: 3.31 states/eV/f.u.
Energy: -4.309 eV/atom